[1]
# Re2RuSe (PBE, optimized geometry)
# Total moment ... 0.0000 μB per atom
# Relative energy among the computed polymorphs ... 0.151 eV/atom
# Calculated volume ... 14.7 Å³ per atom
# Space group ... P4/mmm, No. 123
data_Re2RuSe
_chemical_formula_sum 'Re2 Ru1 Se1'
_space_group_name_H-M_alt 'P 1'
_space_group_IT_number 1
_space_group_name_Hall 'P 1'
_cell_length_a 2.952
_cell_length_b 2.952
_cell_length_c 6.731
_cell_angle_alpha 90.00
_cell_angle_beta 90.00
_cell_angle_gamma 90.00
loop_
_atom_site_label
_atom_site_type_symbol
_atom_site_fract_x
_atom_site_fract_y
_atom_site_fract_z
Re1 Re 0.000 0.000 0.236
Re2 Re 0.000 0.000 0.764
Ru1 Ru 0.500 0.500 0.500
Se1 Se 0.500 0.500 0.000

***

[2]
# Nd3GaTe2 (PBE, optimized geometry)
# Total moment ... 0.0000 μB per atom
# Relative energy among the computed polymorphs ... 0.140 eV/atom
# Calculated volume ... 35.4 Å³ per atom
# Space group ... Cmmm, No. 65
data_Nd3GaTe2
_chemical_formula_sum 'Nd6 Ga2 Te4'
_space_group_name_H-M_alt 'P 1'
_space_group_IT_number 1
_space_group_name_Hall 'P 1'
_cell_length_a 6.243
_cell_length_b 14.678
_cell_length_c 4.641
_cell_angle_alpha 90.00
_cell_angle_beta 90.00
_cell_angle_gamma 90.00
loop_
_atom_site_label
_atom_site_type_symbol
_atom_site_fract_x
_atom_site_fract_y
_atom_site_fract_z
Nd1 Nd 0.000 0.000 0.000
Nd2 Nd 0.000 0.369 0.500
Nd3 Nd 0.000 0.631 0.500
Nd4 Nd 0.500 0.131 0.500
Nd5 Nd 0.500 0.500 0.000
Nd6 Nd 0.500 0.869 0.500
Ga1 Ga 0.000 0.500 0.000
Ga2 Ga 0.500 0.000 0.000
Te1 Te 0.000 0.151 0.500
Te2 Te 0.000 0.849 0.500
Te3 Te 0.500 0.349 0.500
Te4 Te 0.500 0.651 0.500

***

[3]
# YReAu2 (PBE, optimized geometry)
# Total moment ... 0.0000 μB per atom
# Relative energy among the computed polymorphs ... 0.050 eV/atom
# Calculated volume ... 18.7 Å³ per atom
# Space group ... Cmmm, No. 65
# Formation energy from the elements ... 0.31 eV per formula unit
data_YReAu2
_chemical_formula_sum 'Y2 Re2 Au4'
_space_group_name_H-M_alt 'P 1'
_space_group_IT_number 1
_space_group_name_Hall 'P 1'
_cell_length_a 5.987
_cell_length_b 8.174
_cell_length_c 3.063
_cell_angle_alpha 90.00
_cell_angle_beta 90.00
_cell_angle_gamma 90.00
loop_
_atom_site_label
_atom_site_type_symbol
_atom_site_fract_x
_atom_site_fract_y
_atom_site_fract_z
Y1 Y 0.000 0.000 0.000
Y2 Y 0.500 0.500 0.000
Re1 Re 0.000 0.500 0.000
Re2 Re 0.500 0.000 0.000
Au1 Au 0.250 0.250 0.500
Au2 Au 0.250 0.750 0.500
Au3 Au 0.750 0.250 0.500
Au4 Au 0.750 0.750 0.500

***

[4]
# Ac2PmScTe4 (PBE, optimized geometry)
# Total moment ... 0.0000 μB per atom
# Calculated volume ... 32.9 Å³ per atom
# Space group ... P2/m, No. 10
data_Ac2PmScTe4
_chemical_formula_sum 'Ac2 Pm1 Sc1 Te4'
_space_group_name_H-M_alt 'P 1'
_space_group_IT_number 1
_space_group_name_Hall 'P 1'
_cell_length_a 7.761
_cell_length_b 4.436
_cell_length_c 8.051
_cell_angle_alpha 90.00
_cell_angle_beta 108.42
_cell_angle_gamma 90.00
loop_
_atom_site_label
_atom_site_type_symbol
_atom_site_fract_x
_atom_site_fract_y
_atom_site_fract_z
Ac1 Ac 0.000 0.000 0.000
Ac2 Ac 0.500 0.500 0.000
Pm1 Pm 0.000 0.500 0.500
Sc1 Sc 0.500 0.000 0.500
Te1 Te 0.253 0.000 0.724
Te2 Te 0.272 0.500 0.283
Te3 Te 0.728 0.500 0.717
Te4 Te 0.747 0.000 0.276

***

One value per record, in order, for E_tot: -9.0140, -4.9717, -6.2901, -5.3300 eV per atom.